# PmNdY

Crystalline PmNdY at its relaxed geometry (GGA-PBE, OQMD).

Lattice parameters (Å, degrees): 7.8312 7.8312 7.8312 90.00 90.00 90.00
With the nearest neighbours (Å) after each atom.
Space group F-43m (No. 216)
Inequivalent atoms, fractional coordinates:
Pm1 0.0000 0.0000 0.0000  4 Y 3.39
Nd1 0.0000 0.0000 0.5000  4 Y 3.39
Y1 0.2500 0.2500 0.7500  4 Pm 3.39, 4 Nd 3.39

**Density**: 5230 kg/m3
**Uncorrected energy**: -4.60 eV per atom